Computed, not measured: BaGa2Ni after structural relaxation at the PBE-GGA level of DFT.

Geometry as CIF:
```
data_BaGa2Ni
_space_group_name_H-M_alt 'R -3 m'
_space_group_IT_number 166
_space_group_name_Hall '-R 3 2"'
_cell_length_a 4.2103
_cell_length_b 4.2103
_cell_length_c 18.2037
_cell_angle_alpha 90.00
_cell_angle_beta 90.00
_cell_angle_gamma 120.00
loop_
_atom_site_label
_atom_site_fract_x
_atom_site_fract_y
_atom_site_fract_z
Ba1 0.0000 0.0000 0.0000
Ga1 0.0000 0.0000 0.1982
Ni1 0.0000 0.0000 0.5000
```

Computed properties:
volume = 279 Å³ per cell
energy of formation from the pure elements = -386 meV/atom

Computed, not measured: CsZnP2Se after structural relaxation at the PBE-GGA level of DFT.

Geometry as CIF:
```
data_CsZnP2Se
_space_group_name_H-M_alt 'C 1 2 1'
_space_group_IT_number 5
_cell_length_a 5.6460
_cell_length_b 15.4648
_cell_length_c 3.6824
_cell_angle_alpha 90.00
_cell_angle_beta 113.71
_cell_angle_gamma 90.00
loop_
_space_group_symop_operation_xyz
'x,y,z'
'-x,y,-z'
'x+1/2,y+1/2,z'
'-x+1/2,y+1/2,-z'
loop_
_atom_site_label
_atom_site_fract_x
_atom_site_fract_y
_atom_site_fract_z
Cs1 0.0000 0.0000 0.0000
Zn1 0.0000 0.2758 0.5000
P1 0.1211 0.6782 0.3231
Se1 0.0000 0.3716 0.0000
```

Computed properties:
volume = 294 Å³ per cell
offset from the most stable computed form = 0.004 eV per atom

Computed, not measured: AlRe2W after structural relaxation at the PBE-GGA level of DFT.

Geometry as CIF:
```
data_AlRe2W
_space_group_name_H-M_alt 'C 1 2/m 1'
_space_group_IT_number 12
_cell_length_a 5.4738
_cell_length_b 8.7210
_cell_length_c 2.7447
_cell_angle_alpha 90.00
_cell_angle_beta 112.75
_cell_angle_gamma 90.00
loop_
_space_group_symop_operation_xyz
'x,y,z'
'-x,-y,-z'
'-x,y,-z'
'x,-y,z'
'x+1/2,y+1/2,z'
'-x+1/2,-y+1/2,-z'
'-x+1/2,y+1/2,-z'
'x+1/2,-y+1/2,z'
loop_
_atom_site_label
_atom_site_fract_x
_atom_site_fract_y
_atom_site_fract_z
Al1 0.0000 0.0000 0.0000
Re1 0.2500 0.2500 0.5000
W1 0.0000 0.5000 0.0000
```

Computed properties:
volume = 121 Å³ per cell
energy of formation from the pure elements = 38 meV/atom

Computed, not measured: RuPtSeBr2 after structural relaxation at the PBE-GGA level of DFT.

Geometry as CIF:
```
data_RuPtSeBr2
_space_group_name_H-M_alt 'P 4/m m m'
_space_group_IT_number 123
_space_group_name_Hall '-P 4 2'
_cell_length_a 5.1336
_cell_length_b 5.1336
_cell_length_c 4.6091
_cell_angle_alpha 90.00
_cell_angle_beta 90.00
_cell_angle_gamma 90.00
loop_
_atom_site_label
_atom_site_fract_x
_atom_site_fract_y
_atom_site_fract_z
Ru1 0.0000 0.0000 0.0000
Pt1 0.5000 0.5000 0.5000
Se1 0.0000 0.0000 0.5000
Br1 0.0000 0.5000 0.0000
```

Computed properties:
volume = 121 Å³ per cell
offset from the most stable computed form = 0.000 eV per atom

Computed, not measured: ZrHg2Cl after structural relaxation at the PBE-GGA level of DFT.

Geometry as CIF:
```
data_ZrHg2Cl
_space_group_name_H-M_alt 'C 1 m 1'
_space_group_IT_number 8
_cell_length_a 15.2894
_cell_length_b 3.1631
_cell_length_c 5.0917
_cell_angle_alpha 90.00
_cell_angle_beta 109.25
_cell_angle_gamma 90.00
loop_
_space_group_symop_operation_xyz
'x,y,z'
'x,-y,z'
'x+1/2,y+1/2,z'
'x+1/2,-y+1/2,z'
loop_
_atom_site_label
_atom_site_fract_x
_atom_site_fract_y
_atom_site_fract_z
Zr1 0.0000 0.0000 0.0000
Hg1 0.0473 0.5000 0.5467
Hg2 0.1804 0.5000 0.1781
Cl1 0.3605 0.0000 0.8616
```

Computed properties:
volume = 232 Å³ per cell
offset from the most stable computed form = 0.090 eV per atom

Computed, not measured: Ba2Hg6GeSb after structural relaxation at the PBE-GGA level of DFT.

Geometry as CIF:
```
data_Ba2Hg6GeSb
_space_group_name_H-M_alt 'P m m n'
_space_group_IT_number 59
_cell_length_a 5.9317
_cell_length_b 10.1160
_cell_length_c 10.8073
_cell_angle_alpha 90.00
_cell_angle_beta 90.00
_cell_angle_gamma 90.00
loop_
_space_group_symop_operation_xyz
'x,y,z'
'-x,-y,-z'
'-x+1/2,-y+1/2,z'
'x+1/2,y+1/2,-z'
'x+1/2,-y,-z'
'-x+1/2,y,z'
'-x,y+1/2,-z'
'x,-y+1/2,z'
loop_
_atom_site_label
_atom_site_fract_x
_atom_site_fract_y
_atom_site_fract_z
Ba1 0.2500 0.0122 0.2325
Hg1 0.0019 0.2500 0.9631
Hg2 0.0025 0.7500 0.5341
Hg3 0.2500 0.0167 0.5921
Ge1 0.2500 0.2500 0.7538
Sb1 0.2500 0.7500 0.8092
```

Computed properties:
volume = 648 Å³ per cell

Computed, not measured: PmNd4S6 after structural relaxation at the PBE-GGA level of DFT.

Geometry as CIF:
```
data_PmNd4S6
_space_group_name_H-M_alt 'C m c m'
_space_group_IT_number 63
_space_group_name_Hall '-C 2c 2'
_cell_length_a 3.9716
_cell_length_b 13.4037
_cell_length_c 20.4515
_cell_angle_alpha 90.00
_cell_angle_beta 90.00
_cell_angle_gamma 90.00
loop_
_atom_site_label
_atom_site_fract_x
_atom_site_fract_y
_atom_site_fract_z
Pm1 0.0000 0.1536 0.2500
Nd1 0.0000 0.0908 0.6293
Nd2 0.0000 0.3605 0.5406
S1 0.0000 0.0000 0.0000
S2 0.0000 0.1961 0.7500
S3 0.0000 0.2699 0.0906
S4 0.0000 0.4477 0.6690
```

Computed properties:
volume = 1089 Å³ per cell

Computed, not measured: Pr2AlZn3Pt4 after structural relaxation at the PBE-GGA level of DFT.

Geometry as CIF:
```
data_Pr2AlZn3Pt4
_space_group_name_H-M_alt 'P -4 m 2'
_space_group_IT_number 115
_cell_length_a 4.2390
_cell_length_b 4.2390
_cell_length_c 10.7614
_cell_angle_alpha 90.00
_cell_angle_beta 90.00
_cell_angle_gamma 90.00
loop_
_space_group_symop_operation_xyz
'x,y,z'
'y,-x,-z'
'-x,-y,z'
'-y,x,-z'
'-x,y,z'
'-y,-x,-z'
'x,-y,z'
'y,x,-z'
loop_
_atom_site_label
_atom_site_fract_x
_atom_site_fract_y
_atom_site_fract_z
Pr1 0.0000 0.5000 0.2416
Al1 0.0000 0.0000 0.5000
Zn1 0.0000 0.5000 0.8665
Zn2 0.5000 0.5000 0.5000
Pt1 0.0000 0.0000 0.0000
Pt2 0.0000 0.5000 0.6325
Pt3 0.5000 0.5000 0.0000
```

Computed properties:
volume = 193 Å³ per cell
energy of formation from the pure elements = -840 meV/atom

| no. | uncorrected energy (eV per atom) | magnetization (μB per atom) |
| --- | --- | --- |
| 1 | -3.8251 | 0.0000 |
| 2 | -3.6719 | 0.0000 |
| 3 | -10.3596 | 0.0000 |
| 4 | -3.5872 | 0.1337 |
| 5 | -3.1973 | 0.0000 |
| 6 | -1.6955 | 0.0000 |
| 7 | -6.4463 | 0.0000 |
| 8 | -4.9683 | 0.0000 |